[1]
## AcTbP2 (PBE)

Data for crystalline AcTbP2 at its relaxed geometry.

Unit cell a=5.154 b=5.154 c=3.635 alpha=90.00 beta=90.00 gamma=90.00
Element x y z (fractional)
1 Ac 0.000 0.000 0.000
2 Tb 0.500 0.500 0.000
3 P 0.000 0.500 0.500
4 P 0.500 0.000 0.500

Calculated values
For the formation energy, the calculation gives -1.0090 eV per atom. The energy above the most stable polymorph in this dataset is 488.2 meV/atom.

---

[2]
## Sr2CaTlCu (PBE)

Data for crystalline Sr2CaTlCu at its relaxed geometry.

Unit cell a=5.895 b=5.895 c=5.546 alpha=90.00 beta=90.00 gamma=90.00
Element x y z (fractional)
1 Sr 0.000 0.500 0.000
2 Sr 0.500 0.000 0.000
3 Ca 0.000 0.000 0.500
4 Tl 0.500 0.500 0.500
5 Cu 0.000 0.000 0.000

Calculated values
For the formation energy, the calculation gives -0.0301 eV per atom. The energy above the most stable polymorph in this dataset is 0.0 meV/atom.

---

[3]
## Mn3SnH (PBE)

Data for crystalline Mn3SnH at its relaxed geometry.

Unit cell a=2.744 b=6.478 c=6.478 alpha=42.30 beta=90.00 gamma=90.00
Element x y z (fractional)
1 Mn 0.000 0.000 0.000
2 Mn 0.500 0.176 0.609
3 Mn 0.500 0.609 0.176
4 Sn 0.500 0.186 0.186
5 H 0.000 0.851 0.851

Calculated values
The value obtained for the total energy is -6.31 eV/atom.

---

[4]
## LiHf2ThN4 (PBE)

Data for crystalline LiHf2ThN4 at its relaxed geometry.

Unit cell a=5.628 b=5.628 c=10.949 alpha=90.00 beta=90.00 gamma=145.96
Element x y z (fractional)
1 Li 0.157 0.843 0.750
2 Li 0.843 0.157 0.250
3 Hf 0.370 0.630 0.055
4 Hf 0.370 0.630 0.445
5 Hf 0.630 0.370 0.555
6 Hf 0.630 0.370 0.945
7 Th 0.112 0.888 0.250
8 Th 0.888 0.112 0.750
9 N 0.000 0.000 0.000
10 N 0.000 0.000 0.500
11 N 0.269 0.731 0.614
12 N 0.269 0.731 0.886
13 N 0.441 0.559 0.250
14 N 0.559 0.441 0.750
15 N 0.731 0.269 0.114
16 N 0.731 0.269 0.386

Calculated values
The value obtained for the total energy is -9.39 eV/atom.